No. 1
## SrZrAg2Te (PBE-GGA)

Data for a relaxed structure of SrZrAg2Te.

a = 5.345 Å, b = 5.345 Å, c = 6.025 Å
α = 90.00°, β = 90.00°, γ = 90.00°
Positions (direct):
Sr: 0.000 0.000 0.000
Zr: 0.500 0.500 0.000
Ag: 0.000 0.500 0.500
Ag: 0.500 0.000 0.500
Te: 0.000 0.000 0.500

Results
Its crystal system is tetragonal. The density is 5.0 g/cm³. As for the space group: P4/mmm (123). For the total magnetization, the calculation gives 0.60 μB/atom. The uncorrected formation energy is 0.66 eV/atom.

No. 2
## SrThAg2 (PBE-GGA)

Data for a relaxed structure of SrThAg2.

a = 5.386 Å, b = 5.386 Å, c = 5.386 Å
α = 60.00°, β = 60.00°, γ = 60.00°
Positions (direct):
Sr: 0.000 0.000 0.000
Th: 0.500 0.500 0.500
Ag: 0.250 0.250 0.250
Ag: 0.750 0.750 0.750

Results
Its crystal system is cubic. The value obtained for the distance to the lowest polymorph of the same formula is 0.383 eV/f.u. The density is 8.0 g/cm³. As for the space group: Fm-3m (225). For the total magnetization, the calculation gives 0.00 μB/atom.

No. 3
## SrThAg2 (PBE-GGA)

Data for a relaxed structure of SrThAg2.

a = 3.746 Å, b = 3.746 Å, c = 7.990 Å
α = 90.00°, β = 90.00°, γ = 90.00°
Positions (direct):
Sr: 0.000 0.000 0.000
Th: 0.000 0.000 0.500
Ag: 0.500 0.500 0.269
Ag: 0.500 0.500 0.731

Results
Its crystal system is tetragonal. The value obtained for the distance to the lowest polymorph of the same formula is 0.000 eV/f.u. The density is 7.9 g/cm³. As for the space group: P4/mmm (123). For the total magnetization, the calculation gives 0.00 μB/atom.

No. 4
## SrThTlAg (PBE-GGA)

Data for a relaxed structure of SrThTlAg.

a = 5.519 Å, b = 5.519 Å, c = 5.519 Å
α = 60.00°, β = 60.00°, γ = 60.00°
Positions (direct):
Sr: 0.000 0.000 0.000
Th: 0.500 0.500 0.500
Tl: 0.250 0.250 0.250
Ag: 0.750 0.750 0.750

Results
Its crystal system is cubic. The density is 8.8 g/cm³. As for the space group: F-43m (216). For the total magnetization, the calculation gives 0.00 μB/atom. The total energy comes out at -3.69 eV/atom.

No. 5
## SrThZnAg (PBE-GGA)

Data for a relaxed structure of SrThZnAg.

a = 5.352 Å, b = 5.352 Å, c = 5.352 Å
α = 60.00°, β = 60.00°, γ = 60.00°
Positions (direct):
Sr: 0.000 0.000 0.000
Th: 0.500 0.500 0.500
Zn: 0.250 0.250 0.250
Ag: 0.750 0.750 0.750

Results
Its crystal system is cubic. The density is 7.6 g/cm³. As for the space group: F-43m (216). For the total magnetization, the calculation gives 0.00 μB/atom. The total energy comes out at -3.35 eV/atom.

No. 6
## Sr2TiAg2 (PBE-GGA)

Data for a relaxed structure of Sr2TiAg2.

a = 7.757 Å, b = 7.757 Å, c = 4.814 Å
α = 90.00°, β = 90.00°, γ = 90.00°
Positions (direct):
Sr: 0.174 0.326 0.000
Sr: 0.326 0.826 0.000
Sr: 0.674 0.174 0.000
Sr: 0.826 0.674 0.000
Ti: 0.000 0.000 0.500
Ti: 0.500 0.500 0.500
Ag: 0.133 0.633 0.500
Ag: 0.367 0.133 0.500
Ag: 0.633 0.867 0.500
Ag: 0.867 0.367 0.500

Results
Its crystal system is tetragonal. The density is 5.0 g/cm³. As for the space group: P4/mbm (127). For the total magnetization, the calculation gives 0.50 μB/atom. The total energy comes out at -3.28 eV/atom.

No. 7
## SrTi2Ag2 (PBE-GGA)

Data for a relaxed structure of SrTi2Ag2.

a = 8.340 Å, b = 8.340 Å, c = 3.091 Å
α = 90.00°, β = 90.00°, γ = 90.00°
Positions (direct):
Sr: 0.000 0.000 0.000
Sr: 0.500 0.500 0.000
Ti: 0.108 0.392 0.000
Ti: 0.392 0.892 0.000
Ti: 0.608 0.108 0.000
Ti: 0.892 0.608 0.000
Ag: 0.182 0.682 0.500
Ag: 0.318 0.182 0.500
Ag: 0.682 0.818 0.500
Ag: 0.818 0.318 0.500

Results
Its crystal system is tetragonal. The value obtained for the distance to the lowest polymorph of the same formula is 0.000 eV/f.u. The density is 6.2 g/cm³. As for the space group: P4/mbm (127). For the total magnetization, the calculation gives 0.46 μB/atom.

No. 8
## SrTiAg2 (PBE-GGA)

Data for a relaxed structure of SrTiAg2.

a = 6.521 Å, b = 6.521 Å, c = 6.521 Å
α = 104.26°, β = 104.26°, γ = 120.48°
Positions (direct):
Sr: 0.000 0.000 0.000
Sr: 0.750 0.250 0.500
Ti: 0.250 0.750 0.500
Ti: 0.500 0.500 0.000
Ag: 0.172 0.625 0.047
Ag: 0.375 0.422 0.547
Ag: 0.578 0.125 0.953
Ag: 0.875 0.828 0.453

Results
Its crystal system is tetragonal. The value obtained for the distance to the lowest polymorph of the same formula is 0.538 eV/f.u. The density is 5.6 g/cm³. As for the space group: I-42d (122). For the total magnetization, the calculation gives 0.58 μB/atom.

No. 9
## SrTiAg2 (PBE-GGA)

Data for a relaxed structure of SrTiAg2.

a = 5.089 Å, b = 5.089 Å, c = 5.089 Å
α = 60.00°, β = 60.00°, γ = 60.00°
Positions (direct):
Sr: 0.000 0.000 0.000
Ti: 0.500 0.500 0.500
Ag: 0.250 0.250 0.250
Ag: 0.750 0.750 0.750

Results
Its crystal system is cubic. The value obtained for the distance to the lowest polymorph of the same formula is 0.000 eV/f.u. The density is 6.3 g/cm³. As for the space group: Fm-3m (225). For the total magnetization, the calculation gives 0.00 μB/atom.

No. 10
## Sr2TiAg4 (PBE-GGA)

Data for a relaxed structure of Sr2TiAg4.

a = 8.897 Å, b = 8.897 Å, c = 8.897 Å
α = 146.69°, β = 146.69°, γ = 47.83°
Positions (direct):
Sr: 0.134 0.134 0.000
Sr: 0.866 0.866 0.000
Ti: 0.500 0.500 0.000
Ag: 0.000 0.500 0.500
Ag: 0.336 0.336 0.000
Ag: 0.500 0.000 0.500
Ag: 0.664 0.664 0.000

Results
Its crystal system is tetragonal. The density is 5.1 g/cm³. As for the space group: I4/mmm (139). For the total magnetization, the calculation gives 0.09 μB/atom. The total energy comes out at -3.06 eV/atom.

No. 11
## SrTi2Ag (PBE-GGA)

Data for a relaxed structure of SrTi2Ag.

a = 4.971 Å, b = 4.971 Å, c = 4.971 Å
α = 60.00°, β = 60.00°, γ = 60.00°
Positions (direct):
Sr: 0.000 0.000 0.000
Ti: 0.250 0.250 0.250
Ti: 0.750 0.750 0.750
Ag: 0.500 0.500 0.500

Results
Its crystal system is cubic. The value obtained for the distance to the lowest polymorph of the same formula is 0.172 eV/f.u. The density is 5.6 g/cm³. As for the space group: Fm-3m (225). For the total magnetization, the calculation gives 0.77 μB/atom.

No. 12
## SrTi2Ag2 (PBE-GGA)

Data for a relaxed structure of SrTi2Ag2.

a = 8.332 Å, b = 8.332 Å, c = 3.119 Å
α = 90.00°, β = 90.00°, γ = 90.00°
Positions (direct):
Sr: 0.000 0.000 0.000
Sr: 0.500 0.500 0.000
Ti: 0.159 0.341 0.500
Ti: 0.341 0.841 0.500
Ti: 0.659 0.159 0.500
Ti: 0.841 0.659 0.500
Ag: 0.129 0.629 0.000
Ag: 0.371 0.129 0.000
Ag: 0.629 0.871 0.000
Ag: 0.871 0.371 0.000

Results
Its crystal system is tetragonal. The value obtained for the distance to the lowest polymorph of the same formula is 0.679 eV/f.u. The density is 6.1 g/cm³. As for the space group: P4/mbm (127). For the total magnetization, the calculation gives 0.35 μB/atom.

No. 13
## SrTi2Ag (PBE-GGA)

Data for a relaxed structure of SrTi2Ag.

a = 11.024 Å, b = 11.024 Å, c = 11.024 Å
α = 156.15°, β = 156.15°, γ = 33.98°
Positions (direct):
Sr: 0.375 0.625 0.750
Sr: 0.625 0.375 0.250
Ti: 0.000 0.000 0.000
Ti: 0.000 0.000 0.500
Ti: 0.000 0.500 0.000
Ti: 0.500 0.000 0.500
Ag: 0.125 0.875 0.250
Ag: 0.875 0.125 0.750

Results
Its crystal system is tetragonal. The value obtained for the distance to the lowest polymorph of the same formula is 0.000 eV/f.u. The density is 4.4 g/cm³. As for the space group: I4_1/amd (141). For the total magnetization, the calculation gives 0.00 μB/atom.

No. 14
## SrTl2Ag (PBE-GGA)

Data for a relaxed structure of SrTl2Ag.

a = 4.025 Å, b = 4.945 Å, c = 6.109 Å
α = 90.00°, β = 101.71°, γ = 90.00°
Positions (direct):
Sr: 0.000 0.000 0.000
Tl: 0.336 0.500 0.717
Tl: 0.664 0.500 0.283
Ag: 0.500 0.000 0.500

Results
Its crystal system is monoclinic. The density is 8.4 g/cm³. As for the space group: P2/m (10). For the total magnetization, the calculation gives 0.00 μB/atom. The total energy comes out at -2.48 eV/atom.

No. 15
## Sr2TlAg2 (PBE-GGA)

Data for a relaxed structure of Sr2TlAg2.

a = 10.166 Å, b = 10.166 Å, c = 10.166 Å
α = 157.49°, β = 157.49°, γ = 32.05°
Positions (direct):
Sr: 0.110 0.110 0.000
Sr: 0.890 0.890 0.000
Tl: 0.500 0.500 0.000
Ag: 0.250 0.750 0.500
Ag: 0.750 0.250 0.500

Results
Its crystal system is tetragonal. The density is 6.4 g/cm³. As for the space group: I4/mmm (139). For the total magnetization, the calculation gives 0.00 μB/atom. The total energy comes out at -2.50 eV/atom.

No. 16
## Sr2TlAg2 (PBE-GGA)

Data for a relaxed structure of Sr2TlAg2.

a = 6.071 Å, b = 6.071 Å, c = 6.071 Å
α = 118.34°, β = 118.34°, γ = 92.91°
Positions (direct):
Sr: 0.250 0.750 0.500
Sr: 0.750 0.250 0.500
Tl: 0.000 0.000 0.000
Ag: 0.343 0.343 0.000
Ag: 0.657 0.657 0.000

Results
Its crystal system is tetragonal. The density is 6.1 g/cm³. As for the space group: I4/mmm (139). For the total magnetization, the calculation gives 0.00 μB/atom. The total energy comes out at -2.46 eV/atom.

No. 17
## Sr6TlAg5 (PBE-GGA)

Data for a relaxed structure of Sr6TlAg5.

a = 9.688 Å, b = 9.688 Å, c = 9.688 Å
α = 146.41°, β = 131.64°, γ = 60.17°
Positions (direct):
Sr: 0.081 0.332 0.749
Sr: 0.247 0.000 0.247
Sr: 0.417 0.668 0.749
Sr: 0.583 0.332 0.251
Sr: 0.753 0.000 0.753
Sr: 0.919 0.668 0.251
Tl: 0.500 0.500 0.000
Ag: 0.000 0.500 0.500
Ag: 0.167 0.167 0.000
Ag: 0.336 0.836 0.500
Ag: 0.664 0.164 0.500
Ag: 0.833 0.833 0.000

Results
Its crystal system is orthorhombic. The density is 5.7 g/cm³. As for the space group: Immm (71). For the total magnetization, the calculation gives 0.00 μB/atom. The total energy comes out at -2.51 eV/atom.

No. 18
## SrTl2Ag (PBE-GGA)

Data for a relaxed structure of SrTl2Ag.

a = 7.399 Å, b = 5.112 Å, c = 11.984 Å
α = 90.00°, β = 90.00°, γ = 90.00°
Positions (direct):
Sr: 0.246 0.250 0.154
Sr: 0.254 0.750 0.654
Sr: 0.746 0.250 0.346
Sr: 0.754 0.750 0.846
Tl: 0.065 0.750 0.336
Tl: 0.227 0.250 0.455
Tl: 0.273 0.750 0.955
Tl: 0.435 0.250 0.836
Tl: 0.565 0.750 0.164
Tl: 0.727 0.250 0.045
Tl: 0.773 0.750 0.545
Tl: 0.935 0.250 0.664
Ag: 0.045 0.250 0.901
Ag: 0.455 0.750 0.401
Ag: 0.545 0.250 0.599
Ag: 0.955 0.750 0.099

Results
Its crystal system is orthorhombic. The density is 8.9 g/cm³. As for the space group: Pnma (62). For the total magnetization, the calculation gives 0.00 μB/atom. The total energy comes out at -2.56 eV/atom.

No. 19
## Sr3TlAg (PBE-GGA)

Data for a relaxed structure of Sr3TlAg.

a = 5.778 Å, b = 7.644 Å, c = 8.598 Å
α = 95.87°, β = 90.24°, γ = 94.07°
Positions (direct):
Sr: 0.000 0.000 0.000
Sr: 0.002 0.187 0.507
Sr: 0.420 0.512 0.832
Sr: 0.483 0.883 0.326
Sr: 0.948 0.700 0.607
Sr: 0.971 0.509 0.180
Tl: 0.485 0.439 0.399
Tl: 0.491 0.004 0.750
Ag: 0.513 0.219 0.089
Ag: 0.880 0.341 0.837

Results
Its crystal system is triclinic. The value obtained for the distance to the lowest polymorph of the same formula is 0.424 eV/f.u. The density is 5.1 g/cm³. As for the space group: P1 (1). For the total magnetization, the calculation gives 0.00 μB/atom.

No. 20
## Sr6TlAg (PBE-GGA)

Data for a relaxed structure of Sr6TlAg.

a = 11.041 Å, b = 11.041 Å, c = 11.041 Å
α = 149.46°, β = 149.46°, γ = 43.74°
Positions (direct):
Sr: 0.093 0.593 0.500
Sr: 0.249 0.249 0.000
Sr: 0.407 0.907 0.500
Sr: 0.593 0.093 0.500
Sr: 0.751 0.751 0.000
Sr: 0.907 0.407 0.500
Tl: 0.000 0.000 0.000
Ag: 0.500 0.500 0.000

Results
Its crystal system is tetragonal. The density is 4.0 g/cm³. As for the space group: I4/mmm (139). For the total magnetization, the calculation gives 0.00 μB/atom. The total energy comes out at -2.08 eV/atom.

No. 21
## Sr5TlAg2 (PBE-GGA)

Data for a relaxed structure of Sr5TlAg2.

a = 10.025 Å, b = 10.025 Å, c = 10.025 Å
α = 128.96°, β = 128.96°, γ = 75.08°
Positions (direct):
Sr: 0.000 0.000 0.000
Sr: 0.026 0.526 0.839
Sr: 0.187 0.026 0.500
Sr: 0.313 0.813 0.839
Sr: 0.474 0.313 0.500
Sr: 0.500 0.500 0.000
Sr: 0.526 0.687 0.500
Sr: 0.687 0.187 0.161
Sr: 0.813 0.974 0.500
Sr: 0.974 0.474 0.161
Tl: 0.250 0.250 0.000
Tl: 0.750 0.750 0.000
Ag: 0.121 0.379 0.500
Ag: 0.379 0.879 0.258
Ag: 0.621 0.121 0.742
Ag: 0.879 0.621 0.500

Results
Its crystal system is tetragonal. The density is 4.8 g/cm³. As for the space group: I4/mcm (140). For the total magnetization, the calculation gives 0.00 μB/atom. The total energy comes out at -2.36 eV/atom.

No. 22
## Sr3Tl2Ag (PBE-GGA)

Data for a relaxed structure of Sr3Tl2Ag.

a = 4.073 Å, b = 4.073 Å, c = 11.953 Å
α = 90.00°, β = 90.00°, γ = 90.00°
Positions (direct):
Sr: 0.000 0.000 0.000
Sr: 0.000 0.000 0.339
Sr: 0.000 0.000 0.661
Tl: 0.500 0.500 0.166
Tl: 0.500 0.500 0.834
Ag: 0.500 0.500 0.500

Results
Its crystal system is tetragonal. The value obtained for the distance to the lowest polymorph of the same formula is 0.045 eV/f.u. The density is 6.5 g/cm³. As for the space group: P4/mmm (123). For the total magnetization, the calculation gives 0.00 μB/atom.

No. 23
## Sr3Tl2Ag3 (PBE-GGA)

Data for a relaxed structure of Sr3Tl2Ag3.

a = 6.802 Å, b = 6.802 Å, c = 16.153 Å
α = 90.00°, β = 90.00°, γ = 139.67°
Positions (direct):
Sr: 0.076 0.924 0.608
Sr: 0.076 0.924 0.892
Sr: 0.360 0.640 0.750
Sr: 0.640 0.360 0.250
Sr: 0.924 0.076 0.108
Sr: 0.924 0.076 0.392
Tl: 0.220 0.780 0.091
Tl: 0.220 0.780 0.409
Tl: 0.780 0.220 0.591
Tl: 0.780 0.220 0.909
Ag: 0.348 0.652 0.250
Ag: 0.401 0.599 0.540
Ag: 0.401 0.599 0.960
Ag: 0.599 0.401 0.040
Ag: 0.599 0.401 0.460
Ag: 0.652 0.348 0.750

Results
Its crystal system is orthorhombic. The density is 6.8 g/cm³. As for the space group: Cmcm (63). For the total magnetization, the calculation gives 0.00 μB/atom. The total energy comes out at -2.58 eV/atom.

No. 24
## SrTl2Ag (PBE-GGA)

Data for a relaxed structure of SrTl2Ag.

a = 3.802 Å, b = 3.802 Å, c = 7.718 Å
α = 90.00°, β = 90.00°, γ = 90.00°
Positions (direct):
Sr: 0.000 0.000 0.000
Tl: 0.500 0.500 0.294
Tl: 0.500 0.500 0.706
Ag: 0.000 0.000 0.500

Results
Its crystal system is tetragonal. The density is 9.0 g/cm³. As for the space group: P4/mmm (123). For the total magnetization, the calculation gives 0.00 μB/atom. The total energy comes out at -2.46 eV/atom.

No. 25
## SrTl2Ag2 (PBE-GGA)

Data for a relaxed structure of SrTl2Ag2.

a = 8.635 Å, b = 8.635 Å, c = 3.618 Å
α = 90.00°, β = 90.00°, γ = 90.00°
Positions (direct):
Sr: 0.000 0.000 0.000
Sr: 0.500 0.500 0.000
Tl: 0.133 0.367 0.000
Tl: 0.367 0.867 0.000
Tl: 0.633 0.133 0.000
Tl: 0.867 0.633 0.000
Ag: 0.164 0.664 0.500
Ag: 0.336 0.164 0.500
Ag: 0.664 0.836 0.500
Ag: 0.836 0.336 0.500

Results
Its crystal system is tetragonal. The value obtained for the distance to the lowest polymorph of the same formula is 0.662 eV/f.u. The density is 8.8 g/cm³. As for the space group: P4/mbm (127). For the total magnetization, the calculation gives 0.00 μB/atom.